# 1
Material: BaHg4Sb
Method: DFT, PBE-GGA
State: relaxed

## Properties
SG	No. 63
energy above the most stable polymorph in this dataset	2.60	kJ/mol of atoms
magnetization	0.00	μB/f.u.
formation energy (no corrections)	-0.30	eV/atom

Lattice parameters (Å, degrees): 6.749 6.749 11.316 90.00 90.00 133.55
Fractional coordinates of all 12 atoms:
Ba (0.210, 0.790, 0.750)
Ba (0.790, 0.210, 0.250)
Hg (0.000, 0.000, 0.000)
Hg (0.000, 0.000, 0.500)
Hg (0.332, 0.668, 0.029)
Hg (0.332, 0.668, 0.471)
Hg (0.474, 0.526, 0.250)
Hg (0.526, 0.474, 0.750)
Hg (0.668, 0.332, 0.529)
Hg (0.668, 0.332, 0.971)
Sb (0.087, 0.913, 0.250)
Sb (0.913, 0.087, 0.750)



# 2
Material: BaHgSb3
Method: DFT, PBE-GGA
State: relaxed

## Properties
SG	No. 221
energy above the most stable polymorph in this dataset	33.20	kJ/mol of atoms
magnetization	0.00	μB/f.u.
formation energy (no corrections)	0.01	eV/atom

Lattice parameters (Å, degrees): 5.662 5.662 5.662 90.00 90.00 90.00
Fractional coordinates of all 5 atoms:
Ba (0.000, 0.000, 0.000)
Hg (0.500, 0.500, 0.500)
Sb (0.000, 0.500, 0.500)
Sb (0.500, 0.000, 0.500)
Sb (0.500, 0.500, 0.000)